[1]
Entry from Alexandria: crystalline YWBr2 at its relaxed geometry (GGA-PBEsol).

a = 3.353 Å, b = 4.786 Å, c = 6.872 Å
α = 91.10°, β = 104.12°, γ = 90.00°
Sites, in units of the cell vectors:
1 W 0.500 0.000 0.000
2 Br 0.340 0.261 0.680
3 Y 0.000 0.500 0.000
4 Br 0.660 0.739 0.320

## Properties
Polymorph energy (0 for the lowest one): 0.00 eV/f.u.
Total magnetic moment: 0.0 μB/f.u.
Calculated volume: 26.73 A^3/atom
DOS(E_F): 0.80 states/eV per atom
Mass density: 6.72 g cm⁻³
ΔE_f (raw): -0.031 eV per atom

[2]
Entry from Alexandria: crystalline YWBr at its relaxed geometry (GGA-PBEsol).

a = 4.548 Å, b = 4.548 Å, c = 4.548 Å
α = 60.00°, β = 60.00°, γ = 60.00°
Sites, in units of the cell vectors:
1 Br 0.750 0.750 0.750
2 Y 0.500 0.500 0.500
3 W 0.000 0.000 0.000

## Properties
Total magnetic moment: 1.0 μB/f.u.
Calculated volume: 22.17 A^3/atom
DOS(E_F): 1.44 states/eV per atom
Mass density: 8.80 g cm⁻³
ΔE_f (raw): 1.036 eV per atom

[3]
Entry from Alexandria: crystalline YWBr2 at its relaxed geometry (GGA-PBEsol).

a = 3.263 Å, b = 5.035 Å, c = 5.679 Å
α = 110.35°, β = 106.70°, γ = 90.00°
Sites, in units of the cell vectors:
1 Br 0.995 0.939 0.991
2 Y 0.244 0.767 0.488
3 Br 0.782 0.284 0.563
4 W 0.479 0.511 0.959

## Properties
Polymorph energy (0 for the lowest one): 0.73 eV/f.u.
Total magnetic moment: 0.0 μB/f.u.
Calculated volume: 20.82 A^3/atom
DOS(E_F): 0.60 states/eV per atom
Mass density: 8.63 g cm⁻³
ΔE_f (raw): 0.153 eV per atom

[4]
Entry from Alexandria: crystalline YW2Br at its relaxed geometry (GGA-PBEsol).

a = 3.662 Å, b = 3.662 Å, c = 5.698 Å
α = 90.00°, β = 90.00°, γ = 90.00°
Sites, in units of the cell vectors:
1 W 0.000 0.000 0.721
2 Br 0.500 0.500 0.500
3 W 0.000 0.000 0.279
4 Y 0.500 0.500 0.000

## Properties
Polymorph energy (0 for the lowest one): 1.99 eV/f.u.
Total magnetic moment: 0.0 μB/f.u.
Calculated volume: 19.10 A^3/atom
DOS(E_F): 0.91 states/eV per atom
Mass density: 11.66 g cm⁻³
ΔE_f (raw): 1.157 eV per atom

[5]
Entry from Alexandria: crystalline YW2Br at its relaxed geometry (GGA-PBEsol).

a = 3.413 Å, b = 5.320 Å, c = 5.459 Å
α = 119.16°, β = 108.22°, γ = 90.00°
Sites, in units of the cell vectors:
1 Y 0.508 0.508 0.017
2 W 0.708 0.208 0.417
3 Br 0.275 0.775 0.550
4 W 0.008 0.008 0.017

## Properties
Polymorph energy (0 for the lowest one): 0.00 eV/f.u.
Total magnetic moment: 0.0 μB/f.u.
Calculated volume: 20.20 A^3/atom
DOS(E_F): 0.70 states/eV per atom
Mass density: 11.02 g cm⁻³
ΔE_f (raw): 0.659 eV per atom

[6]
Entry from Alexandria: crystalline YWBr2 at its relaxed geometry (GGA-PBEsol).

a = 4.838 Å, b = 4.838 Å, c = 4.838 Å
α = 60.00°, β = 60.00°, γ = 60.00°
Sites, in units of the cell vectors:
1 Y 0.500 0.500 0.500
2 Br 0.750 0.750 0.750
3 Br 0.250 0.250 0.250
4 W 0.000 0.000 0.000

## Properties
Polymorph energy (0 for the lowest one): 1.79 eV/f.u.
Total magnetic moment: 2.5 μB/f.u.
Calculated volume: 20.01 A^3/atom
DOS(E_F): 0.76 states/eV per atom
Mass density: 8.97 g cm⁻³
ΔE_f (raw): 0.416 eV per atom

[7]
Entry from Alexandria: crystalline ZnW2Br at its relaxed geometry (GGA-PBEsol).

a = 2.893 Å, b = 2.893 Å, c = 8.875 Å
α = 80.62°, β = 80.62°, γ = 60.00°
Sites, in units of the cell vectors:
1 W 0.750 0.750 0.751
2 Br 0.000 0.000 0.000
3 Zn 0.500 0.500 0.500
4 W 0.250 0.250 0.249

## Properties
Polymorph energy (0 for the lowest one): 0.00 eV/f.u.
Total magnetic moment: 0.0 μB/f.u.
Calculated volume: 15.79 A^3/atom
DOS(E_F): 0.60 states/eV per atom
Mass density: 13.49 g cm⁻³
ΔE_f (raw): 0.763 eV per atom

[8]
Entry from Alexandria: crystalline ZnW2Br at its relaxed geometry (GGA-PBEsol).

a = 4.320 Å, b = 4.621 Å, c = 4.320 Å
α = 117.87°, β = 90.00°, γ = 117.87°
Sites, in units of the cell vectors:
1 W 0.000 0.000 0.000
2 W 0.750 0.500 0.250
3 Br 0.250 0.500 0.750
4 Zn 0.500 0.000 0.500

## Properties
Polymorph energy (0 for the lowest one): 1.03 eV/f.u.
Total magnetic moment: 0.0 μB/f.u.
Calculated volume: 16.18 A^3/atom
DOS(E_F): 0.50 states/eV per atom
Mass density: 13.16 g cm⁻³
ΔE_f (raw): 1.020 eV per atom

[9]
Entry from Alexandria: crystalline ZnWBr3 at its relaxed geometry (GGA-PBEsol).

a = 5.076 Å, b = 5.076 Å, c = 5.076 Å
α = 90.00°, β = 90.00°, γ = 90.00°
Sites, in units of the cell vectors:
1 Zn 0.500 0.500 0.500
2 W 0.000 0.000 0.000
3 Br 0.000 0.000 0.500
4 Br 0.000 0.500 0.000
5 Br 0.500 0.000 0.000

## Properties
Total magnetic moment: 1.3 μB/f.u.
Calculated volume: 26.16 A^3/atom
DOS(E_F): 0.91 states/eV per atom
Mass density: 6.21 g cm⁻³
ΔE_f (raw): 0.390 eV per atom

[10]
Entry from Alexandria: crystalline ZnW2Br2 at its relaxed geometry (GGA-PBEsol).

a = 3.579 Å, b = 3.579 Å, c = 8.923 Å
α = 101.57°, β = 101.57°, γ = 90.00°
Sites, in units of the cell vectors:
1 Br 0.616 0.616 0.231
2 Br 0.384 0.384 0.769
3 W 0.750 0.250 0.500
4 W 0.250 0.750 0.500
5 Zn 0.000 0.000 0.000

## Properties
Total magnetic moment: 0.0 μB/f.u.
Calculated volume: 21.92 A^3/atom
DOS(E_F): 0.71 states/eV per atom
Mass density: 8.98 g cm⁻³
ΔE_f (raw): 0.967 eV per atom

[11]
Entry from Alexandria: crystalline ZnW2Br at its relaxed geometry (GGA-PBEsol).

a = 2.864 Å, b = 2.864 Å, c = 9.148 Å
α = 90.00°, β = 90.00°, γ = 119.15°
Sites, in units of the cell vectors:
1 W 0.000 0.000 0.255
2 Br 0.500 0.500 0.000
3 W 0.000 0.000 0.745
4 Zn 0.500 0.500 0.500

## Properties
Polymorph energy (0 for the lowest one): 0.75 eV/f.u.
Total magnetic moment: 0.0 μB/f.u.
Calculated volume: 16.39 A^3/atom
DOS(E_F): 0.83 states/eV per atom
Mass density: 12.99 g cm⁻³
ΔE_f (raw): 0.951 eV per atom

[12]
Entry from Alexandria: crystalline ZnWBr at its relaxed geometry (GGA-PBEsol).

a = 2.855 Å, b = 4.482 Å, c = 4.482 Å
α = 120.00°, β = 90.00°, γ = 90.00°
Sites, in units of the cell vectors:
1 Zn 0.500 0.333 0.667
2 Br 0.000 0.000 0.000
3 W 0.000 0.667 0.333

## Properties
Total magnetic moment: 0.0 μB/f.u.
Calculated volume: 16.56 A^3/atom
DOS(E_F): 0.68 states/eV per atom
Mass density: 11.00 g cm⁻³
ΔE_f (raw): 0.850 eV per atom

[13]
Entry from Alexandria: crystalline Zr2WBr at its relaxed geometry (GGA-PBEsol).

a = 3.197 Å, b = 4.255 Å, c = 7.760 Å
α = 84.16°, β = 78.11°, γ = 67.93°
Sites, in units of the cell vectors:
1 Br 0.500 0.000 0.000
2 W 0.500 0.500 0.500
3 Zr 0.870 0.946 0.313
4 Zr 0.130 0.054 0.687

## Properties
Polymorph energy (0 for the lowest one): 0.00 eV/f.u.
Total magnetic moment: 0.0 μB/f.u.
Calculated volume: 23.93 A^3/atom
DOS(E_F): 0.82 states/eV per atom
Mass density: 7.74 g cm⁻³
ΔE_f (raw): 0.064 eV per atom

[14]
Entry from Alexandria: crystalline ZrW2Br at its relaxed geometry (GGA-PBEsol).

a = 3.062 Å, b = 4.487 Å, c = 5.306 Å
α = 90.00°, β = 90.00°, γ = 90.00°
Sites, in units of the cell vectors:
1 W 0.000 0.000 0.773
2 Zr 0.500 0.500 0.000
3 Br 0.500 0.500 0.500
4 W 0.000 0.000 0.227

## Properties
Polymorph energy (0 for the lowest one): 0.17 eV/f.u.
Total magnetic moment: 0.0 μB/f.u.
Calculated volume: 18.22 A^3/atom
DOS(E_F): 0.78 states/eV per atom
Mass density: 12.27 g cm⁻³
ΔE_f (raw): 0.716 eV per atom

[15]
Entry from Alexandria: crystalline ZrW2Br at its relaxed geometry (GGA-PBEsol).

a = 3.208 Å, b = 3.208 Å, c = 6.854 Å
α = 90.00°, β = 90.00°, γ = 90.00°
Sites, in units of the cell vectors:
1 Br 0.500 0.500 0.500
2 W 0.000 0.000 0.250
3 Zr 0.500 0.500 0.000
4 W 0.000 0.000 0.750

## Properties
Polymorph energy (0 for the lowest one): 1.01 eV/f.u.
Total magnetic moment: 0.0 μB/f.u.
Calculated volume: 17.64 A^3/atom
DOS(E_F): 1.28 states/eV per atom
Mass density: 12.68 g cm⁻³
ΔE_f (raw): 0.925 eV per atom

[16]
Entry from Alexandria: crystalline ZrW2Br at its relaxed geometry (GGA-PBEsol).

a = 3.748 Å, b = 3.748 Å, c = 5.024 Å
α = 90.00°, β = 90.00°, γ = 90.00°
Sites, in units of the cell vectors:
1 Zr 0.500 0.500 0.500
2 W 0.500 0.000 0.000
3 Br 0.000 0.000 0.500
4 W 0.000 0.500 0.000

## Properties
Polymorph energy (0 for the lowest one): 0.00 eV/f.u.
Total magnetic moment: 0.0 μB/f.u.
Calculated volume: 17.64 A^3/atom
DOS(E_F): 0.60 states/eV per atom
Mass density: 12.68 g cm⁻³
ΔE_f (raw): 0.674 eV per atom

[17]
Entry from Alexandria: crystalline Zr2WBr at its relaxed geometry (GGA-PBEsol).

a = 3.228 Å, b = 4.685 Å, c = 5.377 Å
α = 95.15°, β = 107.47°, γ = 90.00°
Sites, in units of the cell vectors:
1 W 0.723 0.856 0.446
2 Zr 0.980 0.904 0.961
3 Zr 0.263 0.350 0.527
4 Br 0.533 0.390 0.067

## Properties
Polymorph energy (0 for the lowest one): 0.10 eV/f.u.
Total magnetic moment: 0.0 μB/f.u.
Calculated volume: 19.31 A^3/atom
DOS(E_F): 0.65 states/eV per atom
Mass density: 9.59 g cm⁻³
ΔE_f (raw): 0.090 eV per atom

[18]
Entry from Alexandria: crystalline YBr3 at its relaxed geometry (GGA-PBEsol).

a = 6.328 Å, b = 7.065 Å, c = 10.178 Å
α = 90.00°, β = 90.00°, γ = 90.00°
Sites, in units of the cell vectors:
1 Br 0.181 0.335 0.075
2 Br 0.681 0.165 0.925
3 Br 0.665 0.459 0.250
4 Y 0.433 0.122 0.250
5 Br 0.165 0.041 0.750
6 Y 0.567 0.878 0.750
7 Br 0.181 0.335 0.425
8 Y 0.067 0.622 0.250
9 Br 0.335 0.541 0.750
10 Br 0.319 0.835 0.425
11 Br 0.819 0.665 0.575
12 Br 0.319 0.835 0.075
13 Br 0.819 0.665 0.925
14 Y 0.933 0.378 0.750
15 Br 0.835 0.959 0.250
16 Br 0.681 0.165 0.575

## Properties
Total magnetic moment: 0.0 μB/f.u.
Calculated volume: 28.44 A^3/atom
DOS(E_F): 0.00 states/eV per atom
Mass density: 4.80 g cm⁻³
ΔE_f (raw): -1.808 eV per atom

[19]
Entry from Alexandria: crystalline YBr3 at its relaxed geometry (GGA-PBEsol).

a = 3.695 Å, b = 9.894 Å, c = 9.894 Å
α = 120.00°, β = 90.00°, γ = 90.00°
Sites, in units of the cell vectors:
1 Y 0.250 0.333 0.667
2 Br 0.250 0.789 0.211
3 Br 0.250 0.789 0.578
4 Br 0.250 0.422 0.211
5 Br 0.750 0.211 0.422
6 Br 0.750 0.578 0.789
7 Br 0.750 0.211 0.789
8 Y 0.750 0.667 0.333

## Properties
Total magnetic moment: 0.0 μB/f.u.
Calculated volume: 39.16 A^3/atom
DOS(E_F): 0.00 states/eV per atom
Mass density: 3.48 g cm⁻³
ΔE_f (raw): -1.812 eV per atom

[20]
Entry from Alexandria: crystalline YBr3 at its relaxed geometry (GGA-PBEsol).

a = 3.875 Å, b = 7.173 Å, c = 8.940 Å
α = 90.00°, β = 90.00°, γ = 90.00°
Sites, in units of the cell vectors:
1 Br 0.000 0.682 0.317
2 Y 0.000 0.516 0.000
3 Y 0.500 0.484 0.500
4 Br 0.500 0.318 0.817
5 Br 0.000 0.682 0.683
6 Br 0.000 0.205 0.500
7 Br 0.500 0.795 0.000
8 Br 0.500 0.318 0.183

## Properties
Total magnetic moment: 0.0 μB/f.u.
Calculated volume: 31.06 A^3/atom
DOS(E_F): 0.00 states/eV per atom
Mass density: 4.39 g cm⁻³
ΔE_f (raw): -1.870 eV per atom

[21]
Entry from Alexandria: crystalline Y2Br3 at its relaxed geometry (GGA-PBEsol).

a = 3.861 Å, b = 8.368 Å, c = 10.665 Å
α = 119.19°, β = 90.00°, γ = 103.34°
Sites, in units of the cell vectors:
1 Br 0.045 0.089 0.733
2 Y 0.136 0.272 0.287
3 Br 0.773 0.545 0.880
4 Br 0.955 0.911 0.267
5 Br 0.659 0.318 0.509
6 Br 0.227 0.455 0.120
7 Y 0.864 0.728 0.713
8 Y 0.418 0.837 0.047
9 Y 0.582 0.163 0.953
10 Br 0.341 0.682 0.491

## Properties
Total magnetic moment: 0.0 μB/f.u.
Calculated volume: 29.01 A^3/atom
Mass density: 4.78 g cm⁻³
ΔE_f (raw): -1.545 eV per atom

[22]
Entry from Alexandria: crystalline YBr3 at its relaxed geometry (GGA-PBEsol).

a = 4.034 Å, b = 5.520 Å, c = 7.231 Å
α = 112.51°, β = 90.00°, γ = 90.00°
Sites, in units of the cell vectors:
1 Y 0.500 0.000 0.500
2 Br 0.000 0.857 0.214
3 Br 0.000 0.143 0.786
4 Br 0.500 0.500 0.500

## Properties
Total magnetic moment: 0.0 μB/f.u.
Calculated volume: 37.19 A^3/atom
DOS(E_F): 0.00 states/eV per atom
Mass density: 3.67 g cm⁻³
ΔE_f (raw): -1.826 eV per atom

[23]
Entry from Alexandria: crystalline YBr3 at its relaxed geometry (GGA-PBEsol).

a = 3.706 Å, b = 6.511 Å, c = 6.511 Å
α = 61.78°, β = 73.47°, γ = 73.47°
Sites, in units of the cell vectors:
1 Br 0.329 0.722 0.620
2 Br 0.671 0.380 0.278
3 Br 0.500 0.021 0.979
4 Y 0.000 0.710 0.290

## Properties
Total magnetic moment: 0.0 μB/f.u.
Calculated volume: 32.65 A^3/atom
DOS(E_F): 0.00 states/eV per atom
Mass density: 4.18 g cm⁻³
ΔE_f (raw): -1.822 eV per atom

[24]
Entry from Alexandria: crystalline Y3Br at its relaxed geometry (GGA-PBEsol).

a = 3.582 Å, b = 3.582 Å, c = 9.991 Å
α = 90.00°, β = 90.00°, γ = 120.00°
Sites, in units of the cell vectors:
1 Y 0.000 0.000 0.500
2 Y 0.333 0.667 0.221
3 Y 0.333 0.667 0.779
4 Br 0.000 0.000 0.000

## Properties
Total magnetic moment: 0.6 μB/f.u.
Calculated volume: 27.76 A^3/atom
DOS(E_F): 1.16 states/eV per atom
Mass density: 5.18 g cm⁻³
ΔE_f (raw): -0.597 eV per atom

[25]
Entry from Alexandria: crystalline YBr3 at its relaxed geometry (GGA-PBEsol).

a = 4.789 Å, b = 5.348 Å, c = 4.789 Å
α = 63.40°, β = 90.00°, γ = 116.60°
Sites, in units of the cell vectors:
1 Y 0.000 0.000 0.000
2 Br 0.500 0.000 0.500
3 Br 0.750 0.500 0.750
4 Br 0.250 0.500 0.250

## Properties
Total magnetic moment: 0.0 μB/f.u.
Calculated volume: 23.73 A^3/atom
Mass density: 5.75 g cm⁻³
ΔE_f (raw): -1.328 eV per atom

[26]
Entry from Alexandria: crystalline YZnBr at its relaxed geometry (GGA-PBEsol).

a = 3.657 Å, b = 4.819 Å, c = 4.819 Å
α = 120.00°, β = 90.00°, γ = 90.00°
Sites, in units of the cell vectors:
1 Br 0.000 0.000 0.000
2 Zn 0.500 0.667 0.333
3 Y 0.000 0.333 0.667

## Properties
Total magnetic moment: 0.0 μB/f.u.
Calculated volume: 24.52 A^3/atom
DOS(E_F): 1.00 states/eV per atom
Mass density: 5.29 g cm⁻³
ΔE_f (raw): -0.459 eV per atom

[27]
Entry from Alexandria: crystalline YZnBr2 at its relaxed geometry (GGA-PBEsol).

a = 3.870 Å, b = 4.398 Å, c = 5.385 Å
α = 90.00°, β = 90.00°, γ = 90.00°
Sites, in units of the cell vectors:
1 Br 0.000 0.000 0.000
2 Zn 0.000 0.500 0.500
3 Br 0.500 0.000 0.500
4 Y 0.500 0.500 0.000

## Properties
Total magnetic moment: 0.0 μB/f.u.
Calculated volume: 22.91 A^3/atom
DOS(E_F): 0.62 states/eV per atom
Mass density: 5.69 g cm⁻³
ΔE_f (raw): -0.696 eV per atom

[28]
Entry from Alexandria: crystalline Zn3Br at its relaxed geometry (GGA-PBEsol).

a = 3.482 Å, b = 4.576 Å, c = 5.897 Å
α = 72.61°, β = 72.83°, γ = 67.64°
Sites, in units of the cell vectors:
1 Zn 0.254 0.147 0.346
2 Zn 0.500 0.500 0.500
3 Zn 0.746 0.853 0.654
4 Br 0.000 0.000 0.000

## Properties
Total magnetic moment: 0.0 μB/f.u.
Calculated volume: 20.29 A^3/atom
DOS(E_F): 0.18 states/eV per atom
Mass density: 5.65 g cm⁻³
ΔE_f (raw): 0.013 eV per atom

[29]
Entry from Alexandria: crystalline ZnBr3 at its relaxed geometry (GGA-PBEsol).

a = 3.540 Å, b = 3.540 Å, c = 10.247 Å
α = 80.05°, β = 80.05°, γ = 60.00°
Sites, in units of the cell vectors:
1 Zn 0.000 0.000 0.000
2 Br 0.282 0.282 0.154
3 Br 0.500 0.500 0.500
4 Br 0.718 0.718 0.846

## Properties
Total magnetic moment: 0.3 μB/f.u.
Calculated volume: 27.25 A^3/atom
DOS(E_F): 0.82 states/eV per atom
Mass density: 4.65 g cm⁻³
ΔE_f (raw): -0.362 eV per atom